Below is a relaxed LiLaTe2 crystal, with properties calculated at the PBE-GGA level.

Computed properties:
The value obtained for the volume is 31.16 Å³/atom. The calculation puts the raw formation energy at -1375 meV/atom. The calculation puts the calculated total energy at -74.5 eV per cell. As for the density of states at the Fermi level: 0.00 states/eV/f.u. The space group is No. 62. The mass density comes out at 5.3 g/cm3.

Lattice parameters (Å, degrees): 7.887 4.375 14.449 90.00 90.00 90.00
Positions (direct):
Li: 0.159 0.250 0.109
Li: 0.341 0.750 0.609
Li: 0.659 0.250 0.391
Li: 0.841 0.750 0.891
La: 0.127 0.750 0.358
La: 0.373 0.250 0.858
La: 0.627 0.750 0.142
La: 0.873 0.250 0.642
Te: 0.103 0.750 0.760
Te: 0.221 0.250 0.515
Te: 0.279 0.750 0.015
Te: 0.397 0.250 0.260
Te: 0.603 0.750 0.740
Te: 0.721 0.250 0.985
Te: 0.779 0.750 0.485
Te: 0.897 0.250 0.240